Entry from Alexandria via LeMat-Bulk: a geometry-optimized TlOs3 structure (GGA-PBE).

Geometry as CIF:
```
data_TlOs3
_space_group_name_H-M_alt 'P 1'
_space_group_IT_number 1
_cell_length_a 5.0943
_cell_length_b 5.0943
_cell_length_c 5.0943
_cell_angle_alpha 90.00
_cell_angle_beta 90.00
_cell_angle_gamma 90.00
loop_
_space_group_symop_operation_xyz
'x,y,z'
loop_
_atom_site_label
_atom_site_type_symbol
_atom_site_fract_x
_atom_site_fract_y
_atom_site_fract_z
_atom_site_occupancy
Tl1 Tl 0.0000 0.0000 0.0000 1
Tl2 Tl 0.5000 0.5000 0.5000 1
Os1 Os 0.0000 0.2500 0.5000 1
Os2 Os 0.0000 0.7500 0.5000 1
Os3 Os 0.2500 0.5000 0.0000 1
Os4 Os 0.5000 0.0000 0.2500 1
Os5 Os 0.5000 0.0000 0.7500 1
Os6 Os 0.7500 0.5000 0.0000 1
```

Values from the calculation:
**V**: 16.53 Å³ per atom
**Relative energy among the computed polymorphs**: 0.691 eV per atom
**Calculated formation energy**: 131.6 kJ/mol of atoms
**N(E_F)**: 5.3 states/eV/f.u.



Entry from Alexandria via LeMat-Bulk: a geometry-optimized Cs2KLiCd structure (GGA-PBE).

Geometry as CIF:
```
data_Cs2KLiCd
_space_group_name_H-M_alt 'P 1'
_space_group_IT_number 1
_cell_length_a 7.6262
_cell_length_b 7.6262
_cell_length_c 5.6921
_cell_angle_alpha 90.00
_cell_angle_beta 90.00
_cell_angle_gamma 90.00
loop_
_space_group_symop_operation_xyz
'x,y,z'
loop_
_atom_site_label
_atom_site_type_symbol
_atom_site_fract_x
_atom_site_fract_y
_atom_site_fract_z
_atom_site_occupancy
Cs1 Cs 0.0000 0.5000 0.0000 1
Cs2 Cs 0.5000 0.0000 0.0000 1
K1 K 0.0000 0.0000 0.5000 1
Li1 Li 0.5000 0.5000 0.5000 1
Cd1 Cd 0.5000 0.5000 0.0000 1
```

Values from the calculation:
**V**: 66.21 Å³ per atom
**Relative energy among the computed polymorphs**: 0.000 eV per atom
**Calculated formation energy**: 8.4 kJ/mol of atoms
**N(E_F)**: 4.6 states/eV/f.u.



Entry from Alexandria via LeMat-Bulk: a geometry-optimized Ca2TmZn9 structure (GGA-PBE).

Geometry as CIF:
```
data_Ca2TmZn9
_space_group_name_H-M_alt 'P 1'
_space_group_IT_number 1
_cell_length_a 9.1777
_cell_length_b 9.1777
_cell_length_c 9.1777
_cell_angle_alpha 34.58
_cell_angle_beta 34.58
_cell_angle_gamma 34.58
loop_
_space_group_symop_operation_xyz
'x,y,z'
loop_
_atom_site_label
_atom_site_type_symbol
_atom_site_fract_x
_atom_site_fract_y
_atom_site_fract_z
_atom_site_occupancy
Ca1 Ca 0.1418 0.1418 0.1418 1
Ca2 Ca 0.8582 0.8582 0.8582 1
Tm1 Tm 0.0000 0.0000 0.0000 1
Zn1 Zn 0.0759 0.5836 0.5836 1
Zn2 Zn 0.3348 0.3348 0.3348 1
Zn3 Zn 0.4164 0.4164 0.9241 1
Zn4 Zn 0.4164 0.9241 0.4164 1
Zn5 Zn 0.5000 0.5000 0.5000 1
Zn6 Zn 0.5836 0.0759 0.5836 1
Zn7 Zn 0.5836 0.5836 0.0759 1
Zn8 Zn 0.6652 0.6652 0.6652 1
Zn9 Zn 0.9241 0.4164 0.4164 1
```

Values from the calculation:
**V**: 18.52 Å³ per atom
**Calculated formation energy**: -24.1 kJ/mol of atoms
**N(E_F)**: 7.5 states/eV/f.u.



Entry from Alexandria via LeMat-Bulk: a geometry-optimized Li3Si2Pd4 structure (GGA-PBE).

Geometry as CIF:
```
data_Li3Si2Pd4
_space_group_name_H-M_alt 'P 1'
_space_group_IT_number 1
_cell_length_a 4.9028
_cell_length_b 4.9028
_cell_length_c 7.5852
_cell_angle_alpha 114.62
_cell_angle_beta 114.62
_cell_angle_gamma 50.95
loop_
_space_group_symop_operation_xyz
'x,y,z'
loop_
_atom_site_label
_atom_site_type_symbol
_atom_site_fract_x
_atom_site_fract_y
_atom_site_fract_z
_atom_site_occupancy
Li1 Li 0.0000 0.0000 0.0000 1
Li2 Li 0.0033 0.0033 0.6652 1
Li3 Li 0.9967 0.9967 0.3348 1
Si1 Si 0.3189 0.3189 0.7435 1
Si2 Si 0.6811 0.6811 0.2565 1
Pd1 Pd 0.3143 0.3143 0.4159 1
Pd2 Pd 0.3752 0.3752 0.0865 1
Pd3 Pd 0.6248 0.6248 0.9135 1
Pd4 Pd 0.6857 0.6857 0.5841 1
```

Values from the calculation:
**Energy relative to the elements, uncorrected**: -0.611 eV per atom
**V**: 13.96 Å³ per atom
**Relative energy among the computed polymorphs**: 0.035 eV per atom
**N(E_F)**: 3.4 states/eV/f.u.



Entry from Alexandria via LeMat-Bulk: a geometry-optimized Ac6Tc2Ag structure (GGA-PBE).

Geometry as CIF:
```
data_Ac6Tc2Ag
_space_group_name_H-M_alt 'P 1'
_space_group_IT_number 1
_cell_length_a 9.2271
_cell_length_b 9.2271
_cell_length_c 9.2271
_cell_angle_alpha 110.99
_cell_angle_beta 110.71
_cell_angle_gamma 106.74
loop_
_space_group_symop_operation_xyz
'x,y,z'
loop_
_atom_site_label
_atom_site_type_symbol
_atom_site_fract_x
_atom_site_fract_y
_atom_site_fract_z
_atom_site_occupancy
Ac1 Ac 0.0400 0.2334 0.8066 1
Ac2 Ac 0.1843 0.2809 0.4651 1
Ac3 Ac 0.1843 0.7191 0.9034 1
Ac4 Ac 0.3288 0.0107 0.6820 1
Ac5 Ac 0.3288 0.6468 0.3180 1
Ac6 Ac 0.4268 0.2334 0.1934 1
Ac7 Ac 0.5732 0.7666 0.8066 1
Ac8 Ac 0.6712 0.3532 0.6820 1
Ac9 Ac 0.6712 0.9893 0.3180 1
Ac10 Ac 0.8157 0.2809 0.0966 1
Ac11 Ac 0.8157 0.7191 0.5349 1
Ac12 Ac 0.9600 0.7666 0.1934 1
Tc1 Tc 0.1072 0.6072 0.5000 1
Tc2 Tc 0.3276 0.0000 0.3276 1
Tc3 Tc 0.6724 0.0000 0.6724 1
Tc4 Tc 0.8928 0.3928 0.5000 1
Ag1 Ag 0.0000 0.0000 0.0000 1
Ag2 Ag 0.5000 0.5000 0.0000 1
```

Values from the calculation:
**V**: 33.54 Å³ per atom
**Calculated formation energy**: 2.1 kJ/mol of atoms
**N(E_F)**: 8.9 states/eV/f.u.



Entry from Alexandria via LeMat-Bulk: a geometry-optimized AlSe3 structure (GGA-PBE).

Geometry as CIF:
```
data_AlSe3
_space_group_name_H-M_alt 'P 1'
_space_group_IT_number 1
_cell_length_a 6.3550
_cell_length_b 6.3550
_cell_length_c 5.3809
_cell_angle_alpha 100.17
_cell_angle_beta 100.17
_cell_angle_gamma 30.66
loop_
_space_group_symop_operation_xyz
'x,y,z'
loop_
_atom_site_label
_atom_site_type_symbol
_atom_site_fract_x
_atom_site_fract_y
_atom_site_fract_z
_atom_site_occupancy
Al1 Al 0.0000 0.0000 0.0000 1
Se1 Se 0.3593 0.3593 0.8168 1
Se2 Se 0.5000 0.5000 0.5000 1
Se3 Se 0.6407 0.6407 0.1832 1
```

Values from the calculation:
**Energy relative to the elements, uncorrected**: -0.198 eV per atom
**V**: 27.23 Å³ per atom
**Relative energy among the computed polymorphs**: 0.085 eV per atom
**N(E_F)**: 2.7 states/eV/f.u.



Entry from Alexandria via LeMat-Bulk: a geometry-optimized Mg3Cd structure (GGA-PBE).

Geometry as CIF:
```
data_Mg3Cd
_space_group_name_H-M_alt 'P 1'
_space_group_IT_number 1
_cell_length_a 6.1982
_cell_length_b 4.7374
_cell_length_c 6.2016
_cell_angle_alpha 90.00
_cell_angle_beta 101.02
_cell_angle_gamma 90.00
loop_
_space_group_symop_operation_xyz
'x,y,z'
loop_
_atom_site_label
_atom_site_type_symbol
_atom_site_fract_x
_atom_site_fract_y
_atom_site_fract_z
_atom_site_occupancy
Mg1 Mg 0.1035 0.2500 0.3284 1
Mg2 Mg 0.3304 0.7500 0.1022 1
Mg3 Mg 0.3864 0.7500 0.6115 1
Mg4 Mg 0.6136 0.2500 0.3885 1
Mg5 Mg 0.6696 0.2500 0.8978 1
Mg6 Mg 0.8965 0.7500 0.6716 1
Cd1 Cd 0.1710 0.2500 0.8274 1
Cd2 Cd 0.8290 0.7500 0.1726 1
```

Values from the calculation:
**V**: 22.34 Å³ per atom
**Calculated formation energy**: -5.4 kJ/mol of atoms
**N(E_F)**: 1.6 states/eV/f.u.



Entry from Alexandria via LeMat-Bulk: a geometry-optimized GaAsCBr2 structure (GGA-PBE).

Geometry as CIF:
```
data_GaAsCBr2
_space_group_name_H-M_alt 'P 1'
_space_group_IT_number 1
_cell_length_a 5.1805
_cell_length_b 5.1805
_cell_length_c 5.1251
_cell_angle_alpha 90.00
_cell_angle_beta 90.00
_cell_angle_gamma 90.00
loop_
_space_group_symop_operation_xyz
'x,y,z'
loop_
_atom_site_label
_atom_site_type_symbol
_atom_site_fract_x
_atom_site_fract_y
_atom_site_fract_z
_atom_site_occupancy
Ga1 Ga 0.0000 0.0000 0.0000 1
As1 As 0.0000 0.0000 0.5000 1
C1 C 0.5000 0.5000 0.5000 1
Br1 Br 0.0000 0.5000 0.0000 1
Br2 Br 0.5000 0.0000 0.0000 1
```

Values from the calculation:
**Energy relative to the elements, uncorrected**: 1.516 eV per atom
**V**: 27.51 Å³ per atom
**Relative energy among the computed polymorphs**: 0.618 eV per atom
**N(E_F)**: 3.4 states/eV/f.u.



Entry from Alexandria via LeMat-Bulk: a geometry-optimized NaGa2N2 structure (GGA-PBE).

Geometry as CIF:
```
data_NaGa2N2
_space_group_name_H-M_alt 'P 1'
_space_group_IT_number 1
_cell_length_a 5.6960
_cell_length_b 5.6960
_cell_length_c 5.4859
_cell_angle_alpha 107.21
_cell_angle_beta 107.21
_cell_angle_gamma 114.10
loop_
_space_group_symop_operation_xyz
'x,y,z'
loop_
_atom_site_label
_atom_site_type_symbol
_atom_site_fract_x
_atom_site_fract_y
_atom_site_fract_z
_atom_site_occupancy
Na1 Na 0.1623 0.8377 0.7500 1
Na2 Na 0.8377 0.1623 0.2500 1
Ga1 Ga 0.2040 0.4219 0.9416 1
Ga2 Ga 0.4219 0.2040 0.4416 1
Ga3 Ga 0.5781 0.7960 0.5584 1
Ga4 Ga 0.7960 0.5781 0.0584 1
N1 N 0.2331 0.7669 0.2500 1
N2 N 0.4506 0.5494 0.7500 1
N3 N 0.5494 0.4506 0.2500 1
N4 N 0.7669 0.2331 0.7500 1
```

Values from the calculation:
**Energy relative to the elements, uncorrected**: 0.027 eV per atom
**V**: 13.63 Å³ per atom
**N(E_F)**: 1.4 states/eV/f.u.



Entry from Alexandria via LeMat-Bulk: a geometry-optimized SrEuZnPt structure (GGA-PBE).

Geometry as CIF:
```
data_SrEuZnPt
_space_group_name_H-M_alt 'P 1'
_space_group_IT_number 1
_cell_length_a 5.2514
_cell_length_b 5.2514
_cell_length_c 5.2514
_cell_angle_alpha 60.00
_cell_angle_beta 60.00
_cell_angle_gamma 60.00
loop_
_space_group_symop_operation_xyz
'x,y,z'
loop_
_atom_site_label
_atom_site_type_symbol
_atom_site_fract_x
_atom_site_fract_y
_atom_site_fract_z
_atom_site_occupancy
Sr1 Sr 0.0000 0.0000 0.0000 1
Eu1 Eu 0.5000 0.5000 0.5000 1
Zn1 Zn 0.2500 0.2500 0.2500 1
Pt1 Pt 0.7500 0.7500 0.7500 1
```

Values from the calculation:
**V**: 25.60 Å³ per atom
**Calculated formation energy**: -49.3 kJ/mol of atoms
**N(E_F)**: 6.2 states/eV/f.u.



Entry from Alexandria via LeMat-Bulk: a geometry-optimized TiV4W4 structure (GGA-PBE).

Geometry as CIF:
```
data_TiV4W4
_space_group_name_H-M_alt 'P 1'
_space_group_IT_number 1
_cell_length_a 5.4124
_cell_length_b 5.4124
_cell_length_c 9.9176
_cell_angle_alpha 90.00
_cell_angle_beta 90.00
_cell_angle_gamma 90.00
loop_
_space_group_symop_operation_xyz
'x,y,z'
loop_
_atom_site_label
_atom_site_type_symbol
_atom_site_fract_x
_atom_site_fract_y
_atom_site_fract_z
_atom_site_occupancy
Ti1 Ti 0.2500 0.7500 0.2500 1
Ti2 Ti 0.7500 0.2500 0.7500 1
V1 V 0.0250 0.2500 0.1927 1
V2 V 0.2500 0.0250 0.6927 1
V3 V 0.2500 0.4750 0.6927 1
V4 V 0.4750 0.2500 0.1927 1
V5 V 0.5250 0.7500 0.8073 1
V6 V 0.7500 0.5250 0.3073 1
V7 V 0.7500 0.9750 0.3073 1
V8 V 0.9750 0.7500 0.8073 1
W1 W 0.9997 0.2500 0.4844 1
W2 W 0.0003 0.7500 0.5156 1
W3 W 0.2500 0.9997 0.9844 1
W4 W 0.2500 0.5003 0.9844 1
W5 W 0.5003 0.2500 0.4844 1
W6 W 0.4997 0.7500 0.5156 1
W7 W 0.7500 0.0003 0.0156 1
W8 W 0.7500 0.4997 0.0156 1
```

Values from the calculation:
**V**: 16.14 Å³ per atom
**Calculated formation energy**: 52.2 kJ/mol of atoms
**N(E_F)**: 10.5 states/eV/f.u.



Entry from Alexandria via LeMat-Bulk: a geometry-optimized NaAl2S structure (GGA-PBE).

Geometry as CIF:
```
data_NaAl2S
_space_group_name_H-M_alt 'P 1'
_space_group_IT_number 1
_cell_length_a 6.1295
_cell_length_b 6.1295
_cell_length_c 6.1295
_cell_angle_alpha 101.71
_cell_angle_beta 101.71
_cell_angle_gamma 126.45
loop_
_space_group_symop_operation_xyz
'x,y,z'
loop_
_atom_site_label
_atom_site_type_symbol
_atom_site_fract_x
_atom_site_fract_y
_atom_site_fract_z
_atom_site_occupancy
Na1 Na 0.0000 0.0000 0.0000 1
Na2 Na 0.7500 0.2500 0.5000 1
Al1 Al 0.1760 0.6250 0.0510 1
Al2 Al 0.3750 0.4260 0.5510 1
Al3 Al 0.5740 0.1250 0.9490 1
Al4 Al 0.8750 0.8240 0.4490 1
S1 S 0.2500 0.7500 0.5000 1
S2 S 0.5000 0.5000 0.0000 1
```

Values from the calculation:
**Energy relative to the elements, uncorrected**: -0.170 eV per atom
**V**: 20.67 Å³ per atom
**N(E_F)**: 1.6 states/eV/f.u.